(1)
NaSmSnPd after structural relaxation. Source: Alexandria, functional GGA-PBE.

Calculated values
Energy relative to the elements in meV/atom: -573
SG: F-43m, No. 216

CIF file:
```
data_NaSmSnPd
_chemical_formula_sum 'Na4 Sm4 Sn4 Pd4'
_cell_length_a 7.004
_cell_length_b 7.004
_cell_length_c 7.004
_cell_angle_alpha 90.00
_cell_angle_beta 90.00
_cell_angle_gamma 90.00
_symmetry_space_group_name_H-M 'P 1'
_symmetry_Int_Tables_number 1
loop_
_symmetry_equiv_pos_as_xyz
'x,y,z'
loop_
_atom_site_label
_atom_site_type_symbol
_atom_site_fract_x
_atom_site_fract_y
_atom_site_fract_z
Na1 Na 0.000 0.000 0.000
Na2 Na 0.000 0.500 0.500
Na3 Na 0.500 0.000 0.500
Na4 Na 0.500 0.500 0.000
Sm1 Sm 0.250 0.250 0.750
Sm2 Sm 0.250 0.750 0.250
Sm3 Sm 0.750 0.250 0.250
Sm4 Sm 0.750 0.750 0.750
Sn1 Sn 0.250 0.250 0.250
Sn2 Sn 0.250 0.750 0.750
Sn3 Sn 0.750 0.250 0.750
Sn4 Sn 0.750 0.750 0.250
Pd1 Pd 0.000 0.000 0.500
Pd2 Pd 0.000 0.500 0.000
Pd3 Pd 0.500 0.000 0.000
Pd4 Pd 0.500 0.500 0.500
```

(2)
ZrRe2AgMo after structural relaxation. Source: Alexandria, functional GGA-PBE.

Calculated values
Energy relative to the elements in meV/atom: 2508
SG: P4/mmm, No. 123

CIF file:
```
data_ZrRe2AgMo
_chemical_formula_sum 'Zr1 Re2 Ag1 Mo1'
_cell_length_a 4.715
_cell_length_b 4.715
_cell_length_c 4.908
_cell_angle_alpha 90.00
_cell_angle_beta 90.00
_cell_angle_gamma 90.00
_symmetry_space_group_name_H-M 'P 1'
_symmetry_Int_Tables_number 1
loop_
_symmetry_equiv_pos_as_xyz
'x,y,z'
loop_
_atom_site_label
_atom_site_type_symbol
_atom_site_fract_x
_atom_site_fract_y
_atom_site_fract_z
Zr1 Zr 0.000 0.000 0.000
Re1 Re 0.000 0.500 0.000
Re2 Re 0.500 0.000 0.000
Ag1 Ag 0.000 0.000 0.500
Mo1 Mo 0.500 0.500 0.500
```

Question: Among the records above, which one has the highest energy relative to the elements?
Answer: ZrRe2AgMo